Computed, not measured: crystalline KRhBr2 at its relaxed geometry at the GGA-PBE level of DFT.

## Properties
Relative energy among the computed polymorphs, eV/atom: 0.841
Magnetization, μB/f.u.: 2.00
Formation energy without anion corrections, eV/f.u.: 0.898

abc: 5.3296 5.3296 5.3296
angles: 60.00 60.00 60.00
Each line ends with the local moment (μB).
Positions (direct):
Br1 0.0000 0.0000 0.0000  0.20
Br2 0.2500 0.2500 0.2500  0.12
K1 0.5000 0.5000 0.5000  0.01
Rh1 0.7500 0.7500 0.7500  1.47